# 1
# CeErIn4, relaxed, DFT PBE
# **Crystal system**: triclinic
# **Calculated volume**: 184 Å³/f.u.
# **Energy above the most stable polymorph in this dataset**: 181 meV per atom
data_CeErIn4
_space_group_name_H-M_alt 'P 1'
_space_group_IT_number 1
_cell_length_a 4.780
_cell_length_b 5.891
_cell_length_c 6.540
_cell_angle_alpha 89.94
_cell_angle_beta 90.00
_cell_angle_gamma 89.53
loop_
_space_group_symop_operation_xyz
'x,y,z'
loop_
_atom_site_label
_atom_site_type_symbol
_atom_site_fract_x
_atom_site_fract_y
_atom_site_fract_z
Ce1 Ce 0.000 0.000 0.000
Er1 Er 0.508 0.248 0.500
In1 In 0.006 0.479 0.246
In2 In 0.006 0.479 0.754
In3 In 0.502 0.765 0.261
In4 In 0.503 0.765 0.739


# 2
# Cs4K5, relaxed, DFT PBE
# **Crystal system**: tetragonal
# **Calculated volume**: 814 Å³/f.u.
# **Final energy**: -0.977 eV/atom
data_Cs4K5
_space_group_name_H-M_alt 'I 4/m'
_space_group_IT_number 87
_space_group_name_Hall '-I 4'
_cell_length_a 14.891
_cell_length_b 14.891
_cell_length_c 7.340
_cell_angle_alpha 90.00
_cell_angle_beta 90.00
_cell_angle_gamma 90.00
loop_
_atom_site_label
_atom_site_type_symbol
_atom_site_fract_x
_atom_site_fract_y
_atom_site_fract_z
Cs1 Cs 0.001 0.681 0.000
K1 K 0.000 0.000 0.000
K2 K 0.159 0.159 0.500


# 3
# Rb3Ga2Sb4, relaxed, DFT PBE
# **Crystal system**: monoclinic
# **Calculated volume**: 338 Å³/f.u.
# **Energy above the most stable polymorph in this dataset**: 0 meV per atom
# **Raw formation energy**: -31 kJ/mol of atoms
data_Rb3Ga2Sb4
_space_group_name_H-M_alt 'C 1 2/m 1'
_space_group_IT_number 12
_cell_length_a 19.359
_cell_length_b 4.459
_cell_length_c 8.579
_cell_angle_alpha 90.00
_cell_angle_beta 114.15
_cell_angle_gamma 90.00
loop_
_space_group_symop_operation_xyz
'x,y,z'
'-x,-y,-z'
'-x,y,-z'
'x,-y,z'
'x+1/2,y+1/2,z'
'-x+1/2,-y+1/2,-z'
'-x+1/2,y+1/2,-z'
'x+1/2,-y+1/2,z'
loop_
_atom_site_label
_atom_site_type_symbol
_atom_site_fract_x
_atom_site_fract_y
_atom_site_fract_z
Rb1 Rb 0.000 0.000 0.000
Rb2 Rb 0.147 0.000 0.748
Ga1 Ga 0.172 0.500 0.421
Sb1 Sb 0.020 0.500 0.361
Sb2 Sb 0.202 0.000 0.268


Copy entry 1 word for word.
# CeErIn4, relaxed, DFT PBE
# **Crystal system**: triclinic
# **Calculated volume**: 184 Å³/f.u.
# **Energy above the most stable polymorph in this dataset**: 181 meV per atom
data_CeErIn4
_space_group_name_H-M_alt 'P 1'
_space_group_IT_number 1
_cell_length_a 4.780
_cell_length_b 5.891
_cell_length_c 6.540
_cell_angle_alpha 89.94
_cell_angle_beta 90.00
_cell_angle_gamma 89.53
loop_
_space_group_symop_operation_xyz
'x,y,z'
loop_
_atom_site_label
_atom_site_type_symbol
_atom_site_fract_x
_atom_site_fract_y
_atom_site_fract_z
Ce1 Ce 0.000 0.000 0.000
Er1 Er 0.508 0.248 0.500
In1 In 0.006 0.479 0.246
In2 In 0.006 0.479 0.754
In3 In 0.502 0.765 0.261
In4 In 0.503 0.765 0.739


- What is the formula in the second record?
  Cs4K5


- Which value of calculated volume does entry 2 give?
  814 Å³/f.u.